1.
The following is a PBE calculation of a relaxed Er2AgC crystal, from the Alexandria database.

Calculated total energy (eV for the cell shown): -22.3
Total magnetic moment (μB per formula unit): 0.617

Cell: 7.566 7.566 7.566 Å, 27.65 27.65 27.65°
Positions (direct):
Er: 0.227 0.227 0.227
Er: 0.773 0.773 0.773
Ag: 0.000 0.000 0.000
C: 0.500 0.500 0.500

***

2.
The following is a PBE calculation of a relaxed HoEr2AgC crystal, from the Alexandria database.

Calculated total energy (eV for the cell shown): -27.0
Total magnetic moment (μB per formula unit): 0.472

Cell: 4.829 4.829 4.897 Å, 90.00 90.00 90.00°
Positions (direct):
Ho: 0.000 0.000 0.000
Er: 0.000 0.500 0.500
Er: 0.500 0.000 0.500
Ag: 0.500 0.500 0.000
C: 0.000 0.000 0.500

***

3.
The following is a PBE calculation of a relaxed La2ErAgC crystal, from the Alexandria database.

Calculated total energy (eV for the cell shown): -27.1
Total magnetic moment (μB per formula unit): 0.002

Cell: 5.250 5.250 4.798 Å, 90.00 90.00 90.00°
Positions (direct):
La: 0.000 0.500 0.000
La: 0.500 0.000 0.000
Er: 0.000 0.000 0.501
Ag: 0.500 0.500 0.504
C: 0.000 0.000 0.012

***

4.
The following is a PBE calculation of a relaxed ErAgCO4 crystal, from the Alexandria database.

Formation energy without anion corrections (meV/atom): -1516
Total magnetic moment (μB per formula unit): 0.000

Cell: 6.069 6.069 6.069 Å, 125.71 107.15 96.98°
Positions (direct):
Er: 0.000 0.000 0.000
Er: 0.500 0.000 0.500
Ag: 0.500 0.000 0.000
Ag: 0.500 0.500 0.500
C: 0.112 0.362 0.750
C: 0.888 0.638 0.250
O: 0.123 0.714 0.409
O: 0.194 0.286 0.909
O: 0.240 0.255 0.515
O: 0.240 0.725 0.985
O: 0.760 0.275 0.015
O: 0.760 0.745 0.485
O: 0.806 0.714 0.091
O: 0.877 0.286 0.591

***

5.
The following is a PBE calculation of a relaxed Er3AgC4O12 crystal, from the Alexandria database.

Formation energy without anion corrections (meV/atom): -1966
Total magnetic moment (μB per formula unit): 0.000

Cell: 6.546 6.546 6.546 Å, 97.76 97.76 97.76°
Positions (direct):
Er: 0.000 0.535 0.465
Er: 0.465 0.000 0.535
Er: 0.535 0.465 0.000
Ag: 0.000 0.000 0.000
C: 0.024 0.500 0.976
C: 0.500 0.500 0.500
C: 0.500 0.976 0.024
C: 0.976 0.024 0.500
O: 0.044 0.213 0.484
O: 0.110 0.890 0.500
O: 0.213 0.484 0.044
O: 0.368 0.632 0.500
O: 0.484 0.044 0.213
O: 0.500 0.110 0.890
O: 0.500 0.368 0.632
O: 0.516 0.787 0.956
O: 0.632 0.500 0.368
O: 0.787 0.956 0.516
O: 0.890 0.500 0.110
O: 0.956 0.516 0.787

***

6.
The following is a PBE calculation of a relaxed Er2AgOsC crystal, from the Alexandria database.

Calculated total energy (eV for the cell shown): -34.4
Total magnetic moment (μB per formula unit): 0.000

Cell: 4.944 4.944 3.890 Å, 90.00 90.00 90.00°
Positions (direct):
Er: 0.000 0.500 0.000
Er: 0.500 0.000 0.000
Ag: 0.000 0.000 0.500
Os: 0.500 0.500 0.500
C: 0.500 0.500 0.000

***

7.
The following is a PBE calculation of a relaxed TbEr2AgC crystal, from the Alexandria database.

Calculated total energy (eV for the cell shown): -26.9
Total magnetic moment (μB per formula unit): 0.000

Cell: 4.789 4.789 5.045 Å, 90.00 90.00 90.00°
Positions (direct):
Tb: 0.000 0.000 0.000
Er: 0.000 0.500 0.503
Er: 0.500 0.000 0.503
Ag: 0.500 0.500 0.016
C: 0.000 0.000 0.522

***

8.
The following is a PBE calculation of a relaxed Tb2ErAgC crystal, from the Alexandria database.

Calculated total energy (eV for the cell shown): -26.9
Total magnetic moment (μB per formula unit): 0.001

Cell: 4.954 4.954 4.786 Å, 90.00 90.00 90.00°
Positions (direct):
Tb: 0.000 0.500 0.000
Tb: 0.500 0.000 0.000
Er: 0.000 0.000 0.500
Ag: 0.500 0.500 0.500
C: 0.000 0.000 0.000

***

- Which formula does entry 3 have?
  La2ErAgC